<P>
## TcAs2PBr (PBE)

Data for a relaxed TcAs2PBr crystal.

POSCAR file:
```
TcAs2PBr
1.0
-4.2831 -1.9533 0.5327
1.5392 -2.3318 3.8259
-1.4654 4.0467 3.0559
Br P As Tc
1 1 2 1
Direct
0.0000 0.0000 0.5000
0.5000 0.5000 0.5000
0.5000 0.0000 0.0000
0.0000 0.5000 0.0000
0.0000 0.0000 0.0000
```

Calculated values
Calculated density   5.0 g/cm3
SG   P4/mmm, No. 123
Total magnetic moment   1.2 μB per formula unit

<Q>
## TcAs2PBr (PBE)

Data for a relaxed TcAs2PBr crystal.

POSCAR file:
```
TcAs2PBr
1.0
-3.5492 0.7425 3.1558
-0.7857 -4.7367 0.2308
3.1893 -0.3502 3.6693
Tc Br As P
1 1 2 1
Direct
0.5000 0.5000 0.5000
0.0000 0.0000 0.5000
0.5000 0.0000 0.0000
0.0000 0.5000 0.0000
0.0000 0.0000 0.0000
```

Calculated values
Calculated density   5.3 g/cm3
SG   P4/mmm, No. 123
Total magnetic moment   3.4 μB per formula unit

Stability check: which of them is least stable? <Q>.

<P>
## TiAsPBr2 (PBE)

Data for a relaxed TiAsPBr2 crystal.

POSCAR file:
```
TiAsPBr2
1.0
4.8883 0.0000 0.0000
0.0000 4.8883 0.0000
0.0000 0.0000 5.0767
Br As P Ti
2 1 1 1
Direct
0.5000 0.0000 0.0000
0.0000 0.5000 0.0000
0.0000 0.0000 0.5000
0.0000 0.0000 0.0000
0.5000 0.5000 0.5000
```

Calculated values
Calculated density   4.3 g/cm3
SG   P4/mmm, No. 123
Total magnetic moment   0.1 μB per formula unit

<Q>
## TiAsPBr2 (PBE)

Data for a relaxed TiAsPBr2 crystal.

POSCAR file:
```
TiAsPBr2
1.0
-4.1266 -2.6082 -0.4611
2.6480 -4.0433 -0.8275
0.0660 -1.0418 5.3016
Br As Ti P
2 1 1 1
Direct
0.0000 0.5000 0.0000
0.5000 0.0000 0.0000
0.0000 0.0000 0.5000
0.0000 0.0000 0.0000
0.5000 0.5000 0.5000
```

Calculated values
Calculated density   4.0 g/cm3
SG   P4/mmm, No. 123
Total magnetic moment   2.0 μB per formula unit

Stability check: which of them is least stable? <P>.

<P>
## TiAs2PBr (PBE)

Data for a relaxed TiAs2PBr crystal.

POSCAR file:
```
TiAs2PBr
1.0
-3.2619 0.6143 3.3840
2.4487 -2.8602 2.8796
2.5332 3.9120 1.7316
P Br As Ti
1 1 2 1
Direct
0.0000 0.0000 0.0000
0.0000 0.0000 0.5000
0.5000 0.0000 0.0000
0.0000 0.5000 0.0000
0.5000 0.5000 0.5000
```

Calculated values
Calculated density   4.6 g/cm3
SG   P4/mmm, No. 123
Total magnetic moment   1.4 μB per formula unit

<Q>
## TiAs2PBr (PBE)

Data for a relaxed TiAs2PBr crystal.

POSCAR file:
```
TiAs2PBr
1.0
-4.5410 -1.6521 1.3808
1.3995 0.1848 4.8233
-1.5599 4.5214 0.2794
As Br Ti P
2 1 1 1
Direct
0.0000 0.5000 0.0000
0.5000 0.0000 0.0000
0.0000 0.0000 0.5000
0.0000 0.0000 0.0000
0.5000 0.5000 0.5000
```

Calculated values
Calculated density   4.2 g/cm3
SG   P4/mmm, No. 123
Total magnetic moment   0.8 μB per formula unit

Stability check: which of them is least stable? <P>.

<P>
## VAs2PBr (PBE)

Data for a relaxed VAs2PBr crystal.

POSCAR file:
```
VAs2PBr
1.0
-4.4873 -1.5126 0.0735
1.3652 -4.1399 -1.8511
0.6942 -1.8352 4.6163
P As Br V
1 2 1 1
Direct
0.0000 0.0000 0.0000
0.5000 0.0000 0.0000
0.0000 0.5000 0.0000
0.0000 0.0000 0.5000
0.5000 0.5000 0.5000
```

Calculated values
Calculated density   4.6 g/cm3
SG   P4/mmm, No. 123
Total magnetic moment   2.7 μB per formula unit

<Q>
## VAs2PBr (PBE)

Data for a relaxed VAs2PBr crystal.

POSCAR file:
```
VAs2PBr
1.0
-0.1156 3.5170 3.3811
-3.6051 -2.3402 2.3110
3.2165 -2.3907 2.5968
V As Br P
1 2 1 1
Direct
0.0000 0.0000 0.0000
0.0000 0.5000 0.0000
0.5000 0.0000 0.0000
0.0000 0.0000 0.5000
0.5000 0.5000 0.5000
```

Calculated values
Calculated density   4.6 g/cm3
SG   P4/mmm, No. 123
Total magnetic moment   1.9 μB per formula unit

Stability check: which of them is least stable? <P>.

<P>
## VAsPBr2 (PBE)

Data for a relaxed VAsPBr2 crystal.

POSCAR file:
```
VAsPBr2
1.0
-0.3938 2.9427 3.8651
-4.5613 -1.5582 0.7216
1.8019 -3.8369 3.1048
Br V As P
2 1 1 1
Direct
0.0000 0.5000 0.0000
0.5000 0.0000 0.0000
0.0000 0.0000 0.0000
0.0000 0.0000 0.5000
0.5000 0.5000 0.5000
```

Calculated values
Calculated density   4.2 g/cm3
SG   P4/mmm, No. 123
Total magnetic moment   3.0 μB per formula unit

<Q>
## VAsPBr2 (PBE)

Data for a relaxed VAsPBr2 crystal.

POSCAR file:
```
VAsPBr2
1.0
4.9330 0.0000 0.0000
0.0000 4.9330 0.0000
0.0000 0.0000 5.0039
P As Br V
1 1 2 1
Direct
0.0000 0.0000 0.0000
0.0000 0.0000 0.5000
0.5000 0.0000 0.0000
0.0000 0.5000 0.0000
0.5000 0.5000 0.5000
```

Calculated values
Calculated density   4.3 g/cm3
SG   P4/mmm, No. 123
Total magnetic moment   0.0 μB per formula unit

Stability check: which of them is least stable? <Q>.

<P>
## YAs2PBr (PBE)

Data for a relaxed YAs2PBr crystal.

POSCAR file:
```
YAs2PBr
1.0
-0.6462 -2.1337 -4.2882
2.5855 -3.7978 1.5001
-4.1436 -2.1515 1.6949
As P Y Br
2 1 1 1
Direct
0.0000 0.5000 0.0000
0.5000 0.0000 0.0000
0.0000 0.0000 0.0000
0.5000 0.5000 0.5000
0.0000 0.0000 0.5000
```

Calculated values
Calculated density   5.0 g/cm3
SG   P4/mmm, No. 123
Total magnetic moment   0.0 μB per formula unit

<Q>
## YAs2PBr (PBE)

Data for a relaxed YAs2PBr crystal.

POSCAR file:
```
YAs2PBr
1.0
5.5680 0.0000 0.0000
0.0000 5.5680 0.0000
0.0000 0.0000 5.2464
P Br As Y
1 1 2 1
Direct
0.5000 0.5000 0.5000
0.0000 0.0000 0.5000
0.0000 0.5000 0.0000
0.5000 0.0000 0.0000
0.0000 0.0000 0.0000
```

Calculated values
Calculated density   3.6 g/cm3
SG   P4/mmm, No. 123
Total magnetic moment   0.1 μB per formula unit

Stability check: which of them is least stable? <Q>.